The following is a GGA+U calculation of a relaxed structure of NdCr2IO8, from the Alexandria database.

POSCAR file:
```
NdCr2IO8
1.0
3.7096 -3.1475 0.0000
3.7096 3.1475 0.0000
-1.0827 0.0000 7.0171
Nd Cr I O
1 2 1 8
Direct
0.0000 0.0000 0.0000
0.4424 0.4424 0.7804
0.5576 0.5576 0.2196
0.0000 0.0000 0.5000
0.2120 0.7662 0.2647
0.2338 0.7880 0.7353
0.2712 0.2712 0.5560
0.3307 0.3307 0.9882
0.6693 0.6693 0.0118
0.7288 0.7288 0.4440
0.7662 0.2120 0.2647
0.7880 0.2338 0.7353
```

Output
The value obtained for the calculated total energy is -6.50 eV/atom. Its volume is 13.655 Å³/atom. The spin magnetization comes out at 4.0 μB/f.u.